No. 1
Density functional theory data (PBE) for a relaxed structure of ScGaIr.

Calculated values
Energy of formation (meV/atom): -791
Density (g/cm3): 10.0
Volume (Å³/f.u.): 51.0

The structure in CIF format:
```
data_ScGaIr
_space_group_name_H-M_alt 'P -6 m 2'
_space_group_IT_number 187
_space_group_name_Hall 'P -6 2'
_cell_length_a 4.3742
_cell_length_b 4.3742
_cell_length_c 3.0780
_cell_angle_alpha 90.00
_cell_angle_beta 90.00
_cell_angle_gamma 120.00
loop_
_atom_site_label
_atom_site_type_symbol
_atom_site_fract_x
_atom_site_fract_y
_atom_site_fract_z
Sc1 Sc 0.0000 0.0000 0.0000
Ga1 Ga 0.3333 0.6667 0.5000
Ir1 Ir 0.6667 0.3333 0.5000
```

No. 2
Density functional theory data (PBE) for a relaxed structure of RbGe2C.

Calculated values
Energy of formation (meV/atom): 867
Density (g/cm3): 4.0
Volume (Å³/f.u.): 101.7

The structure in CIF format:
```
data_RbGe2C
_space_group_name_H-M_alt 'I -4 2 d'
_space_group_IT_number 122
_space_group_name_Hall 'I -4 2bw'
_cell_length_a 6.609
_cell_length_b 6.609
_cell_length_c 9.310
_cell_angle_alpha 90.00
_cell_angle_beta 90.00
_cell_angle_gamma 90.00
loop_
_atom_site_label
_atom_site_type_symbol
_atom_site_fract_x
_atom_site_fract_y
_atom_site_fract_z
Rb1 Rb 0.000 0.000 0.000
Ge1 Ge 0.096 0.250 0.625
C1 C 0.000 0.000 0.500
```

No. 3
Density functional theory data (PBE) for a relaxed structure of AcCuSbSe.

Calculated values
Formation energy without anion corrections (kJ/mol of formula units): -342
Density (g/cm3): 7.9
Volume (Å³/f.u.): 102.8

The structure in CIF format:
```
data_AcCuSbSe
_space_group_name_H-M_alt 'P 4/n m m'
_space_group_IT_number 129
_cell_length_a 4.660
_cell_length_b 4.660
_cell_length_c 9.468
_cell_angle_alpha 90.00
_cell_angle_beta 90.00
_cell_angle_gamma 90.00
loop_
_space_group_symop_operation_xyz
'x,y,z'
'-x,-y,-z'
'-y+1/2,x,z'
'y+1/2,-x,-z'
'-x+1/2,-y+1/2,z'
'x+1/2,y+1/2,-z'
'y,-x+1/2,z'
'-y,x+1/2,-z'
'x+1/2,-y,-z'
'-x+1/2,y,z'
'-y,-x,-z'
'y,x,z'
'-x,y+1/2,-z'
'x,-y+1/2,z'
'y+1/2,x+1/2,-z'
'-y+1/2,-x+1/2,z'
loop_
_atom_site_label
_atom_site_type_symbol
_atom_site_fract_x
_atom_site_fract_y
_atom_site_fract_z
Ac1 Ac 0.250 0.250 0.221
Cu1 Cu 0.250 0.750 0.500
Sb1 Sb 0.250 0.250 0.642
Se1 Se 0.250 0.750 0.000
```

No. 4
Density functional theory data (PBE) for a relaxed structure of Pb2W.

Calculated values
Energy above the lowest structure with this stoichiometry (meV per atom): 742
Energy of formation (meV/atom): 1324
Density (g/cm3): 13.6
Volume (Å³/f.u.): 73.0

The structure in CIF format:
```
data_Pb2W
_space_group_name_H-M_alt 'P 63/m m c'
_space_group_IT_number 194
_space_group_name_Hall '-P 6c 2c'
_cell_length_a 5.2054
_cell_length_b 5.2054
_cell_length_c 6.2234
_cell_angle_alpha 90.00
_cell_angle_beta 90.00
_cell_angle_gamma 120.00
loop_
_atom_site_label
_atom_site_type_symbol
_atom_site_fract_x
_atom_site_fract_y
_atom_site_fract_z
Pb1 Pb 0.0000 0.0000 0.0000
Pb2 Pb 0.3333 0.6667 0.2500
W1 W 0.3333 0.6667 0.7500
```